No. 1
A plane-wave DFT calculation with PBE-GGA was carried out for a geometry-optimized Hf2ZrTlC structure.

Properties
Energy of formation: -0.38 eV/atom
Magnetization: 0.000 μB/f.u.
Space-group type: P4/mmm (123)

Cell: 4.516 4.516 4.617 Å, 90.00 90.00 90.00°
Sites, in units of the cell vectors:
Hf 0.000 0.500 0.000
Hf 0.500 0.000 0.000
Zr 0.000 0.000 0.500
Tl 0.500 0.500 0.500
C 0.000 0.000 0.000

***

No. 2
A plane-wave DFT calculation with PBE-GGA was carried out for a geometry-optimized HfZr2TlC structure.

Properties
Energy of formation: -0.40 eV/atom
Magnetization: 0.000 μB/f.u.
Space-group type: P4/mmm (123)

Cell: 4.604 4.604 4.509 Å, 90.00 90.00 90.00°
Sites, in units of the cell vectors:
Hf 0.000 0.000 0.000
Zr 0.000 0.500 0.500
Zr 0.500 0.000 0.500
Tl 0.500 0.500 0.000
C 0.000 0.000 0.500

***

No. 3
A plane-wave DFT calculation with PBE-GGA was carried out for a geometry-optimized Tm2HfC structure.

Properties
Energy of formation: 0.09 eV/atom
Magnetization: 0.001 μB/f.u.
Space-group type: R-3m (166)

Cell: 3.376 3.376 27.391 Å, 90.00 90.00 120.00°
Sites, in units of the cell vectors:
Tm 0.000 0.000 0.118
Tm 0.000 0.000 0.882
Tm 0.333 0.667 0.549
Tm 0.333 0.667 0.784
Tm 0.667 0.333 0.216
Tm 0.667 0.333 0.451
Hf 0.000 0.000 0.000
Hf 0.333 0.667 0.667
Hf 0.667 0.333 0.333
C 0.000 0.000 0.500
C 0.333 0.667 0.167
C 0.667 0.333 0.833

***

No. 4
A plane-wave DFT calculation with PBE-GGA was carried out for a geometry-optimized TmHf2C structure.

Properties
Energy of formation: -0.30 eV/atom
Magnetization: 0.000 μB/f.u.
Space-group type: R-3m (166)

Cell: 3.289 3.289 26.347 Å, 90.00 90.00 120.00°
Sites, in units of the cell vectors:
Tm 0.000 0.000 0.000
Tm 0.333 0.667 0.667
Tm 0.667 0.333 0.333
Hf 0.000 0.000 0.120
Hf 0.000 0.000 0.880
Hf 0.333 0.667 0.546
Hf 0.333 0.667 0.787
Hf 0.667 0.333 0.213
Hf 0.667 0.333 0.454
C 0.000 0.000 0.500
C 0.333 0.667 0.167
C 0.667 0.333 0.833

***

No. 5
A plane-wave DFT calculation with PBE-GGA was carried out for a geometry-optimized Tm2HfUC4 structure.

Properties
Energy of formation: -0.48 eV/atom
Magnetization: 0.000 μB/f.u.
Space-group type: P2/m (10)

Cell: 5.977 3.481 5.978 Å, 90.00 109.47 90.00°
Sites, in units of the cell vectors:
Tm 0.000 0.000 0.000
Tm 0.000 0.500 0.500
Hf 0.500 0.000 0.500
U 0.500 0.500 0.000
C 0.274 0.500 0.253
C 0.278 0.000 0.760
C 0.722 0.000 0.240
C 0.726 0.500 0.747

***

No. 6
A plane-wave DFT calculation with PBE-GGA was carried out for a geometry-optimized HfU2C structure.

Properties
Energy of formation: 0.23 eV/atom
Magnetization: 0.000 μB/f.u.
Space-group type: R-3m (166)

Cell: 3.073 3.073 27.276 Å, 90.00 90.00 120.00°
Sites, in units of the cell vectors:
Hf 0.000 0.000 0.000
Hf 0.333 0.667 0.667
Hf 0.667 0.333 0.333
U 0.000 0.000 0.110
U 0.000 0.000 0.890
U 0.333 0.667 0.556
U 0.333 0.667 0.777
U 0.667 0.333 0.223
U 0.667 0.333 0.444
C 0.000 0.000 0.500
C 0.333 0.667 0.167
C 0.667 0.333 0.833

***

No. 7
A plane-wave DFT calculation with PBE-GGA was carried out for a geometry-optimized HfU2C3 structure.

Properties
Energy of formation: -0.40 eV/atom
Magnetization: 0.005 μB/f.u.
Space-group type: Fddd (70)

Cell: 11.310 10.782 5.951 Å, 79.33 69.53 31.14°
Sites, in units of the cell vectors:
Hf 0.042 0.042 0.208
Hf 0.208 0.208 0.042
Hf 0.792 0.792 0.958
Hf 0.958 0.958 0.792
U 0.125 0.125 0.625
U 0.292 0.292 0.458
U 0.375 0.375 0.875
U 0.458 0.458 0.292
U 0.542 0.542 0.708
U 0.625 0.625 0.125
U 0.708 0.708 0.542
U 0.875 0.875 0.375
C 0.042 0.539 0.199
C 0.115 0.635 0.635
C 0.199 0.720 0.042
C 0.280 0.801 0.461
C 0.365 0.885 0.885
C 0.461 0.958 0.280
C 0.539 0.042 0.720
C 0.635 0.115 0.115
C 0.720 0.199 0.539
C 0.801 0.280 0.958
C 0.885 0.365 0.365
C 0.958 0.461 0.801

***

No. 8
A plane-wave DFT calculation with PBE-GGA was carried out for a geometry-optimized Hf3U2C4 structure.

Properties
Energy of formation: -0.60 eV/atom
Magnetization: 0.000 μB/f.u.
Space-group type: C2/m (12)

Cell: 5.638 5.638 8.064 Å, 113.55 113.55 33.61°
Sites, in units of the cell vectors:
Hf 0.000 0.000 0.000
Hf 0.219 0.219 0.821
Hf 0.781 0.781 0.179
U 0.418 0.418 0.589
U 0.582 0.582 0.411
C 0.184 0.184 0.299
C 0.396 0.396 0.101
C 0.604 0.604 0.899
C 0.816 0.816 0.701